(1)
Computed, not measured: Tc2IrI at its PBEsol-relaxed geometry at the meta-GGA SCAN level of DFT.

Cell: 4.4626 4.4626 4.4626 Å, 60.00 60.00 60.00°
Fractional coordinates of all 4 atoms:
1 Ir 0.5000 0.5000 0.5000
2 Tc 0.2500 0.2500 0.2500
3 Tc 0.7500 0.7500 0.7500
4 I 0.0000 0.0000 0.0000

Properties
Uncorrected formation energy ... 84.3 kJ/mol of atoms
Total magnetization ... 0.000 μB per atom

---

(2)
Computed, not measured: Tc3IrI at its PBEsol-relaxed geometry at the meta-GGA SCAN level of DFT.

Cell: 4.6424 4.6424 4.6424 Å, 90.00 90.00 90.00°
Fractional coordinates of all 5 atoms:
1 Tc 0.0000 0.0000 0.5000
2 Tc 0.5000 0.0000 0.0000
3 Tc 0.0000 0.5000 0.0000
4 I 0.0000 0.0000 0.0000
5 Ir 0.5000 0.5000 0.5000

Properties
Uncorrected formation energy ... 252.2 kJ/mol of atoms
Total magnetization ... 0.000 μB per atom

---

(3)
Computed, not measured: Te8IrI5 at its PBEsol-relaxed geometry at the meta-GGA SCAN level of DFT.

Cell: 9.6407 10.1226 11.2369 Å, 102.21 113.01 92.06°
Fractional coordinates of all 28 atoms:
1 I 0.8086 0.3674 0.8640
2 I 0.5272 0.4476 0.3008
3 I 0.2875 0.8698 0.5030
4 I 0.8834 0.7773 0.5671
5 I 0.7125 0.1302 0.4970
6 I 0.9243 0.5253 0.2605
7 I 0.1914 0.6326 0.1360
8 I 0.0757 0.4747 0.7395
9 I 0.1166 0.2227 0.4329
10 I 0.4728 0.5524 0.6992
11 Te 0.4503 0.1495 0.7243
12 Te 0.4237 0.6795 0.0142
13 Te 0.8129 0.9374 0.2363
14 Te 0.8887 0.0271 0.8176
15 Te 0.9541 0.1838 0.0816
16 Te 0.1113 0.9729 0.1824
17 Te 0.5763 0.3205 0.9858
18 Te 0.1871 0.0626 0.7637
19 Te 0.0459 0.8162 0.9184
20 Te 0.4304 0.0611 0.1221
21 Te 0.7195 0.7204 0.0055
22 Te 0.2805 0.2796 0.9945
23 Te 0.1973 0.6881 0.6584
24 Te 0.5497 0.8505 0.2757
25 Te 0.5696 0.9389 0.8779
26 Te 0.8027 0.3119 0.3416
27 Ir 0.6958 0.1295 0.1100
28 Ir 0.3042 0.8705 0.8900

Properties
Uncorrected formation energy ... -16.2 kJ/mol of atoms
Total magnetization ... 0.000 μB per atom

---

(4)
Computed, not measured: TeIr2I at its PBEsol-relaxed geometry at the meta-GGA SCAN level of DFT.

Cell: 4.7275 4.7275 4.7275 Å, 60.00 60.00 60.00°
Fractional coordinates of all 4 atoms:
1 Te 0.0000 0.0000 0.0000
2 I 0.5000 0.5000 0.5000
3 Ir 0.2500 0.2500 0.2500
4 Ir 0.7500 0.7500 0.7500

Properties
Uncorrected formation energy ... 101.6 kJ/mol of atoms
Total magnetization ... 0.000 μB per atom

---

(5)
Computed, not measured: TiIr2I at its PBEsol-relaxed geometry at the meta-GGA SCAN level of DFT.

Cell: 4.5688 4.5688 4.5688 Å, 60.00 60.00 60.00°
Fractional coordinates of all 4 atoms:
1 Ir 0.7500 0.7500 0.7500
2 Ir 0.2500 0.2500 0.2500
3 Ti 0.0000 0.0000 0.0000
4 I 0.5000 0.5000 0.5000

Properties
Uncorrected formation energy ... 55.1 kJ/mol of atoms
Total magnetization ... 0.000 μB per atom

---

(6)
Computed, not measured: Ir2WI at its PBEsol-relaxed geometry at the meta-GGA SCAN level of DFT.

Cell: 4.5803 4.5803 4.5803 Å, 60.00 60.00 60.00°
Fractional coordinates of all 4 atoms:
1 Ir 0.2500 0.2500 0.2500
2 Ir 0.7500 0.7500 0.7500
3 W 0.5000 0.5000 0.5000
4 I 0.0000 0.0000 0.0000

Properties
Uncorrected formation energy ... 129.8 kJ/mol of atoms
Total magnetization ... 0.000 μB per atom

---

(7)
Computed, not measured: YIrI2 at its PBEsol-relaxed geometry at the meta-GGA SCAN level of DFT.

Cell: 5.0619 5.0619 5.0619 Å, 60.00 60.00 60.00°
Fractional coordinates of all 4 atoms:
1 I 0.7500 0.7500 0.7500
2 I 0.2500 0.2500 0.2500
3 Y 0.0000 0.0000 0.0000
4 Ir 0.5000 0.5000 0.5000

Properties
Uncorrected formation energy ... 22.1 kJ/mol of atoms
Total magnetization ... 0.000 μB per atom

---

(8)
Computed, not measured: Y6IrI10 at its PBEsol-relaxed geometry at the meta-GGA SCAN level of DFT.

Cell: 7.5348 9.4487 9.4958 Å, 107.37 96.98 104.85°
Fractional coordinates of all 17 atoms:
1 Y 0.1160 0.0403 0.7551
2 Y 0.8840 0.9597 0.2449
3 Y 0.6428 0.8716 0.8313
4 Y 0.9695 0.2881 0.0862
5 Y 0.3572 0.1284 0.1687
6 Y 0.0305 0.7119 0.9138
7 I 0.2664 0.0899 0.4667
8 I 0.7837 0.2653 0.3557
9 I 0.9111 0.6258 0.1839
10 I 0.2163 0.7347 0.6443
11 I 0.4520 0.8112 0.0941
12 I 0.7336 0.9101 0.5333
13 I 0.0889 0.3742 0.8161
14 I 0.6402 0.5391 0.7234
15 I 0.5480 0.1888 0.9059
16 I 0.3598 0.4609 0.2766
17 Ir 0.0000 0.0000 0.0000

Properties
Uncorrected formation energy ... -140.2 kJ/mol of atoms
Total magnetization ... 0.064 μB per atom

---

Number 1 is which compound? Tc2IrI

---

Look up the uncorrected formation energy of the second one. 252.2 kJ/mol of atoms